[1]
Below is a relaxed structure of Li4AgI5, with properties calculated at the PBE-GGA level.

a b c (Å): 4.601 4.601 37.196
angles (deg): 90.00 90.00 120.00
Fractional coordinates of all 20 atoms:
Li1 0.333 0.667 0.503
Li2 0.333 0.667 0.700
Li3 0.333 0.667 0.898
Li4 0.667 0.333 0.997
Li5 0.667 0.333 0.201
Li6 0.667 0.333 0.404
Li7 0.667 0.333 0.602
Li8 0.667 0.333 0.799
Ag1 0.333 0.667 0.097
Ag2 0.333 0.667 0.301
I1 0.333 0.667 0.020
I2 0.333 0.667 0.224
I3 0.333 0.667 0.428
I4 0.333 0.667 0.625
I5 0.333 0.667 0.823
I6 0.667 0.333 0.125
I7 0.667 0.333 0.329
I8 0.667 0.333 0.527
I9 0.667 0.333 0.724
I10 0.667 0.333 0.922

- ρ (g/cm3) = 3.75
- raw total energy (eV per atom) = -2.849
- DOS(E_F) (states/eV/f.u.) = 0.0
- space group = No. 156

[2]
Below is a relaxed structure of LiAgI2, with properties calculated at the PBE-GGA level.

a b c (Å): 4.327 4.327 7.430
angles (deg): 73.07 73.07 60.00
Fractional coordinates of all 4 atoms:
I1 0.248 0.248 0.256
I2 0.752 0.752 0.744
Ag1 0.000 0.000 0.000
Li1 0.500 0.500 0.500

- ρ (g/cm3) = 5.40
- raw total energy (eV per atom) = -2.626
- DOS(E_F) (states/eV/f.u.) = 0.0
- space group = No. 166
- ΔE to the lowest computed polymorph (eV/atom) = 0.076

[3]
Below is a relaxed structure of Li2Ag2I5, with properties calculated at the PBE-GGA level.

a b c (Å): 4.307 7.680 11.051
angles (deg): 107.98 101.24 90.00
Fractional coordinates of all 9 atoms:
Li1 0.878 0.108 0.756
Li2 0.122 0.892 0.244
Ag1 0.585 0.267 0.170
Ag2 0.415 0.733 0.830
I1 0.681 0.085 0.362
I2 0.319 0.915 0.638
I3 0.891 0.479 0.782
I4 0.109 0.521 0.218
I5 0.000 0.000 0.000

- ρ (g/cm3) = 4.22
- raw total energy (eV per atom) = -2.471
- DOS(E_F) (states/eV/f.u.) = 8.9
- space group = No. 12

[4]
Below is a relaxed structure of LiAgI2, with properties calculated at the PBE-GGA level.

a b c (Å): 4.637 4.639 7.951
angles (deg): 73.05 73.03 60.00
Fractional coordinates of all 4 atoms:
Li1 0.240 0.686 0.176
Ag1 0.738 0.183 0.685
I1 0.116 0.561 0.550
I2 0.610 0.055 0.067

- ρ (g/cm3) = 4.39
- raw total energy (eV per atom) = -2.702
- DOS(E_F) (states/eV/f.u.) = 0.0
- space group = No. 160
- ΔE to the lowest computed polymorph (eV/atom) = 0.000

[5]
Below is a relaxed structure of LiAg2I4, with properties calculated at the PBE-GGA level.

a b c (Å): 6.300 6.300 6.484
angles (deg): 90.00 90.00 90.00
Fractional coordinates of all 7 atoms:
Li1 0.000 0.000 0.000
Ag1 0.500 0.000 0.500
Ag2 0.000 0.500 0.500
I1 0.742 0.258 0.766
I2 0.258 0.258 0.234
I3 0.258 0.742 0.766
I4 0.742 0.742 0.234

- ρ (g/cm3) = 4.71
- raw total energy (eV per atom) = -2.401
- DOS(E_F) (states/eV/f.u.) = 8.8
- space group = No. 111
- ΔE to the lowest computed polymorph (eV/atom) = 0.000

[6]
Below is a relaxed structure of Li3AgI, with properties calculated at the PBE-GGA level.

a b c (Å): 5.091 5.091 5.091
angles (deg): 90.00 90.00 90.00
Fractional coordinates of all 5 atoms:
I1 0.500 0.500 0.500
Ag1 0.000 0.000 0.000
Li1 0.000 0.500 0.000
Li2 0.000 0.000 0.500
Li3 0.500 0.000 0.000

- ρ (g/cm3) = 3.22
- raw total energy (eV per atom) = -2.228
- DOS(E_F) (states/eV/f.u.) = 2.5
- space group = No. 221
- ΔE to the lowest computed polymorph (eV/atom) = 0.000

[7]
Below is a relaxed structure of LiAgI3, with properties calculated at the PBE-GGA level.

a b c (Å): 4.527 6.996 11.047
angles (deg): 90.00 101.82 90.00
Fractional coordinates of all 10 atoms:
Li1 0.852 0.961 0.704
Li2 0.148 0.461 0.296
Ag1 0.337 0.496 0.675
Ag2 0.663 0.996 0.325
I1 0.904 0.324 0.808
I2 0.096 0.824 0.192
I3 0.587 0.320 0.174
I4 0.413 0.820 0.826
I5 0.751 0.694 0.502
I6 0.249 0.194 0.498

- ρ (g/cm3) = 4.81
- raw total energy (eV per atom) = -2.371
- DOS(E_F) (states/eV/f.u.) = 4.9
- space group = No. 36
- ΔE to the lowest computed polymorph (eV/atom) = 0.000

[8]
Below is a relaxed structure of LiAg2I4, with properties calculated at the PBE-GGA level.

a b c (Å): 5.612 5.612 8.853
angles (deg): 71.52 71.52 90.00
Fractional coordinates of all 7 atoms:
I1 0.241 0.241 0.518
I2 0.759 0.759 0.482
I3 0.000 0.500 0.000
I4 0.500 0.000 0.000
Ag1 0.411 0.411 0.178
Ag2 0.589 0.589 0.822
Li1 0.000 0.000 0.000

- ρ (g/cm3) = 4.87
- raw total energy (eV per atom) = -2.274
- DOS(E_F) (states/eV/f.u.) = 4.4
- space group = No. 139
- ΔE to the lowest computed polymorph (eV/atom) = 0.126

no.,formation energy without anion corrections (kJ/mol of formula units)
1,-988
2,-255
3,-479
4,-284
5,-288
6,-96
7,-236
8,-203